# 1
# PBE-GGA HgSb3Pb, optimized geometry
data_HgSb3Pb
_chemical_formula_sum 'Hg1 Sb3 Pb1'
_symmetry_space_group_name_H-M 'P m -3 m'
_symmetry_Int_Tables_number 221
_symmetry_space_group_name_Hall '-P 4 2 3'
_cell_length_a 5.864
_cell_length_b 5.864
_cell_length_c 5.864
_cell_angle_alpha 90.00
_cell_angle_beta 90.00
_cell_angle_gamma 90.00
loop_
_atom_site_label
_atom_site_fract_x
_atom_site_fract_y
_atom_site_fract_z
_atom_site_occupancy
Hg1 0.000 0.000 0.000 1
Sb1 0.000 0.500 0.500 1
Pb1 0.500 0.500 0.500 1
# Formation energy without anion corrections, eV/atom: 0.87
# E above lowest polymorph, meV/atom: 218.1
# Energy, eV/atom: -2.41


# 2
# PBE-GGA ReTe2Os, optimized geometry
data_ReTe2Os
_chemical_formula_sum 'Re3 Te6 Os3'
_symmetry_space_group_name_H-M 'R -3 m'
_symmetry_Int_Tables_number 166
_symmetry_space_group_name_Hall '-R 3 2"'
_cell_length_a 3.2293
_cell_length_b 3.2293
_cell_length_c 24.6631
_cell_angle_alpha 90.00
_cell_angle_beta 90.00
_cell_angle_gamma 120.00
loop_
_atom_site_label
_atom_site_fract_x
_atom_site_fract_y
_atom_site_fract_z
_atom_site_occupancy
Re1 0.0000 0.0000 0.0000 1
Te1 0.0000 0.0000 0.2505 1
Os1 0.0000 0.0000 0.5000 1
# Formation energy without anion corrections, eV/atom: 0.80
# E above lowest polymorph, meV/atom: 401.3
# Energy, eV/atom: -6.69


# 3
# PBE-GGA Cs12S5Br3, optimized geometry
data_Cs12S5Br3
_chemical_formula_sum 'Cs96 S40 Br24'
_symmetry_space_group_name_H-M 'I a -3 d'
_symmetry_Int_Tables_number 230
_symmetry_space_group_name_Hall '-I 4bd 2c 3'
_cell_length_a 20.836
_cell_length_b 20.836
_cell_length_c 20.836
_cell_angle_alpha 90.00
_cell_angle_beta 90.00
_cell_angle_gamma 90.00
loop_
_atom_site_label
_atom_site_fract_x
_atom_site_fract_y
_atom_site_fract_z
_atom_site_occupancy
Cs1 0.025 0.061 0.650 1
S1 0.000 0.000 0.000 1
S2 0.000 0.250 0.375 1
Br1 0.000 0.250 0.125 1
# Formation energy without anion corrections, eV/atom: -1.11
# Energy, eV/atom: -2.90


# 4
# PBE-GGA InAg2Pt, optimized geometry
data_InAg2Pt
_chemical_formula_sum 'In2 Ag4 Pt2'
_symmetry_space_group_name_H-M 'I 4/m m m'
_symmetry_Int_Tables_number 139
_symmetry_space_group_name_Hall '-I 4 2'
_cell_length_a 4.004
_cell_length_b 4.004
_cell_length_c 9.013
_cell_angle_alpha 90.00
_cell_angle_beta 90.00
_cell_angle_gamma 90.00
loop_
_atom_site_label
_atom_site_fract_x
_atom_site_fract_y
_atom_site_fract_z
_atom_site_occupancy
In1 0.000 0.000 0.000 1
Ag1 0.000 0.500 0.250 1
Pt1 0.000 0.000 0.500 1
# Energy relative to the elements, eV per atom: -0.151
# Energy, eV/atom: -3.77


# 5
# PBE-GGA LiCd2Si2, optimized geometry
data_LiCd2Si2
_chemical_formula_sum 'Li2 Cd4 Si4'
_symmetry_space_group_name_H-M 'I 4/m m m'
_symmetry_Int_Tables_number 139
_symmetry_space_group_name_Hall '-I 4 2'
_cell_length_a 3.442
_cell_length_b 3.442
_cell_length_c 16.728
_cell_angle_alpha 90.00
_cell_angle_beta 90.00
_cell_angle_gamma 90.00
loop_
_atom_site_label
_atom_site_fract_x
_atom_site_fract_y
_atom_site_fract_z
_atom_site_occupancy
Li1 0.000 0.000 0.000 1
Cd1 0.000 0.000 0.399 1
Si1 0.000 0.500 0.250 1
# Formation energy without anion corrections, eV/atom: 0.13
# E above lowest polymorph, meV/atom: 24.1
# Energy, eV/atom: -2.79


# 6
# PBE-GGA Pm12Tl6Pb, optimized geometry
data_Pm12Tl6Pb
_chemical_formula_sum 'Pm36 Tl18 Pb3'
_symmetry_space_group_name_H-M 'R -3'
_symmetry_Int_Tables_number 148
_symmetry_space_group_name_Hall '-R 3'
_cell_length_a 14.7156
_cell_length_b 14.7156
_cell_length_c 9.8366
_cell_angle_alpha 90.00
_cell_angle_beta 90.00
_cell_angle_gamma 120.00
loop_
_atom_site_label
_atom_site_fract_x
_atom_site_fract_y
_atom_site_fract_z
_atom_site_occupancy
Pm1 0.0535 0.8640 0.2648 1
Pm2 0.0539 0.7955 0.9181 1
Tl1 0.0663 0.8233 0.5789 1
Pb1 0.0000 0.0000 0.0000 1
# Energy relative to the elements, eV per atom: -0.119
# Energy, eV/atom: -4.06


# 7
# PBE-GGA Sb2Au2Br, optimized geometry
data_Sb2Au2Br
_chemical_formula_sum 'Sb4 Au4 Br2'
_symmetry_space_group_name_H-M 'I 4/m m m'
_symmetry_Int_Tables_number 139
_symmetry_space_group_name_Hall '-I 4 2'
_cell_length_a 5.153
_cell_length_b 5.153
_cell_length_c 10.084
_cell_angle_alpha 90.00
_cell_angle_beta 90.00
_cell_angle_gamma 90.00
loop_
_atom_site_label
_atom_site_fract_x
_atom_site_fract_y
_atom_site_fract_z
_atom_site_occupancy
Sb1 0.000 0.500 0.250 1
Au1 0.000 0.000 0.145 1
Br1 0.000 0.000 0.500 1
# Formation energy without anion corrections, eV/atom: 0.07
# E above lowest polymorph, meV/atom: 66.8
# Energy, eV/atom: -3.22


# 8
# PBE-GGA KRb2AgCl5, optimized geometry
data_KRb2AgCl5
_chemical_formula_sum 'K4 Rb8 Ag4 Cl20'
_symmetry_space_group_name_H-M 'C m c 21'
_symmetry_Int_Tables_number 36
_symmetry_space_group_name_Hall 'C 2c -2'
_cell_length_a 4.566
_cell_length_b 18.308
_cell_length_c 14.058
_cell_angle_alpha 90.00
_cell_angle_beta 90.00
_cell_angle_gamma 90.00
loop_
_atom_site_label
_atom_site_fract_x
_atom_site_fract_y
_atom_site_fract_z
_atom_site_occupancy
K1 0.000 0.207 0.000 1
Rb1 0.000 0.098 0.665 1
Rb2 0.000 0.146 0.280 1
Ag1 0.000 0.481 0.416 1
Cl1 0.000 0.038 0.007 1
Cl2 0.000 0.272 0.647 1
Cl3 0.000 0.352 0.359 1
Cl4 0.000 0.386 0.965 1
Cl5 0.000 0.480 0.740 1
# Formation energy without anion corrections, eV/atom: -1.40
# Energy, eV/atom: -3.08


# 9
# PBE-GGA LiTiAu, optimized geometry
data_LiTiAu
_chemical_formula_sum 'Li6 Ti6 Au6'
_symmetry_space_group_name_H-M 'R -3 m'
_symmetry_Int_Tables_number 166
_symmetry_space_group_name_Hall '-R 3 2"'
_cell_length_a 4.4741
_cell_length_b 4.4741
_cell_length_c 20.4493
_cell_angle_alpha 90.00
_cell_angle_beta 90.00
_cell_angle_gamma 120.00
loop_
_atom_site_label
_atom_site_fract_x
_atom_site_fract_y
_atom_site_fract_z
_atom_site_occupancy
Li1 0.0000 0.0000 0.1287 1
Ti1 0.0000 0.0000 0.3837 1
Au1 0.0000 0.0000 0.2582 1
# Energy relative to the elements, eV per atom: -0.036
# E above lowest polymorph, meV/atom: 161.9
# Energy, eV/atom: -4.40


# 10
# PBE-GGA ZrBeAs2, optimized geometry
data_ZrBeAs2
_chemical_formula_sum 'Zr1 Be1 As2'
_symmetry_space_group_name_H-M 'P 1 2/m 1'
_symmetry_Int_Tables_number 10
_symmetry_space_group_name_Hall '-P 2y'
_cell_length_a 3.557
_cell_length_b 3.583
_cell_length_c 5.619
_cell_angle_alpha 90.00
_cell_angle_beta 93.31
_cell_angle_gamma 90.00
loop_
_atom_site_label
_atom_site_fract_x
_atom_site_fract_y
_atom_site_fract_z
_atom_site_occupancy
Zr1 0.000 0.000 0.000 1
Be1 0.500 0.000 0.500 1
As1 0.483 0.500 0.756 1
# Energy relative to the elements, eV per atom: -0.348
# Energy, eV/atom: -5.74


# 11
# PBE-GGA K8HCl4F3, optimized geometry
data_K8HCl4F3
_chemical_formula_sum 'K24 H3 Cl12 F9'
_symmetry_space_group_name_H-M 'R -3 m'
_symmetry_Int_Tables_number 166
_symmetry_space_group_name_Hall '-R 3 2"'
_cell_length_a 8.3521
_cell_length_b 8.3521
_cell_length_c 20.7455
_cell_angle_alpha 90.00
_cell_angle_beta 90.00
_cell_angle_gamma 120.00
loop_
_atom_site_label
_atom_site_fract_x
_atom_site_fract_y
_atom_site_fract_z
_atom_site_occupancy
K1 0.0000 0.0000 0.2385 1
K2 0.0047 0.5024 0.7610 1
H1 0.0000 0.0000 0.5000 1
Cl1 0.0000 0.0000 0.0000 1
Cl2 0.0000 0.5000 0.0000 1
F1 0.0000 0.5000 0.5000 1
# Energy, eV/atom: -3.57


# 12
# PBE-GGA K2CdTe, optimized geometry
data_K2CdTe
_chemical_formula_sum 'K8 Cd4 Te4'
_symmetry_space_group_name_H-M 'F -4 3 m'
_symmetry_Int_Tables_number 216
_symmetry_space_group_name_Hall 'F -4 2 3'
_cell_length_a 8.416
_cell_length_b 8.416
_cell_length_c 8.416
_cell_angle_alpha 90.00
_cell_angle_beta 90.00
_cell_angle_gamma 90.00
loop_
_atom_site_label
_atom_site_fract_x
_atom_site_fract_y
_atom_site_fract_z
_atom_site_occupancy
K1 0.000 0.000 0.000 1
K2 0.250 0.250 0.250 1
Cd1 0.000 0.000 0.500 1
Te1 0.250 0.250 0.750 1
# Formation energy without anion corrections, eV/atom: -0.46
# E above lowest polymorph, meV/atom: 170.6
# Energy, eV/atom: -2.02